# RbP2HO

A geometry-optimized RbP2HO structure (PBE, Alexandria).

Structure (POSCAR):
```
RbP2HO
1.0
7.6243 0.0000 0.0000
0.0000 7.6243 0.0000
0.0000 0.0000 5.0244
P O Rb H
2 1 1 1
direct
0.0000 0.5000 0.0000
0.5000 0.0000 0.0000
0.0000 0.0000 0.5000
0.0000 0.0000 0.0000
0.5000 0.5000 0.5000
```

## Properties
magnetization: 8.00 Bohr magnetons per cell
DOS(E_F): 6.30 states/eV/f.u.
energy: -2.25 eV per atom
space-group type: P4/mmm